Record 1
GGA-PBE TcH2Br6, optimized geometry; total DFT energy (no corrections) = -3.322 eV per atom; total moment = 3.000 μB/f.u.
1.0
7.640 -6.600 0.000
7.640 6.600 0.000
-0.503 0.000 6.369
Tc H Br
2 4 12
Direct
0.082 0.918 0.750
0.918 0.082 0.250
0.349 0.393 0.228
0.393 0.349 0.728
0.607 0.651 0.272
0.651 0.607 0.772
0.030 0.159 0.596
0.107 0.693 0.874
0.159 0.030 0.096
0.281 0.460 0.409
0.307 0.893 0.626
0.460 0.281 0.909
0.540 0.719 0.091
0.693 0.107 0.374
0.719 0.540 0.591
0.841 0.970 0.904
0.893 0.307 0.126
0.970 0.841 0.404

Record 2
GGA-PBE Ca3YZn, optimized geometry; formation energy = 960 meV per atom; total DFT energy (no corrections) = -1.788 eV per atom; total moment = 3.195 μB/f.u.; distance to the lowest polymorph of the same formula = 3.88 eV per formula unit
1.0
6.307 0.000 0.000
0.000 6.307 0.000
0.000 0.000 6.307
Ca Y Zn
3 1 1
Direct
0.000 0.000 0.500
0.000 0.500 0.000
0.500 0.000 0.000
0.000 0.000 0.000
0.500 0.500 0.500

Please write out number 1 again, unchanged.
GGA-PBE TcH2Br6, optimized geometry; total DFT energy (no corrections) = -3.322 eV per atom; total moment = 3.000 μB/f.u.
1.0
7.640 -6.600 0.000
7.640 6.600 0.000
-0.503 0.000 6.369
Tc H Br
2 4 12
Direct
0.082 0.918 0.750
0.918 0.082 0.250
0.349 0.393 0.228
0.393 0.349 0.728
0.607 0.651 0.272
0.651 0.607 0.772
0.030 0.159 0.596
0.107 0.693 0.874
0.159 0.030 0.096
0.281 0.460 0.409
0.307 0.893 0.626
0.460 0.281 0.909
0.540 0.719 0.091
0.693 0.107 0.374
0.719 0.540 0.591
0.841 0.970 0.904
0.893 0.307 0.126
0.970 0.841 0.404